1.
Below is a geometry-optimized Sm3TmPb5 structure, with properties calculated at the PBE level.

Structure (POSCAR):
```
Sm3TmPb5
1.0
9.633 0.000 0.000
-4.816 8.342 0.000
0.000 0.000 6.577
Sm Tm Pb
6 2 10
Cartesian
-1.841 3.190 1.644
-2.975 5.153 4.933
3.683 0.000 1.644
1.841 3.190 4.933
5.950 0.000 4.933
2.975 5.153 1.644
0.000 0.000 0.000
0.000 0.000 3.288
-1.360 2.356 4.933
-3.456 5.986 1.644
2.720 0.000 4.933
1.360 2.356 1.644
0.000 5.562 0.000
0.000 5.562 3.288
4.816 2.781 0.000
4.816 2.781 3.288
6.912 0.000 1.644
3.456 5.986 4.933
```

Crystal system: hexagonal
Formation energy from the elements in eV/atom: -0.46
Calculated total energy in eV/atom: -4.59
V in Å³/cell: 528.5

=====

2.
Below is a geometry-optimized Pm4HoCu5 structure, with properties calculated at the PBE level.

Structure (POSCAR):
```
Pm4HoCu5
1.0
3.525 0.000 0.000
0.000 3.525 0.000
0.000 0.000 17.883
Pm Ho Cu
4 1 5
Cartesian
0.000 0.000 1.807
0.000 0.000 5.431
0.000 0.000 12.452
0.000 0.000 16.076
0.000 0.000 8.941
1.763 1.763 0.000
1.763 1.763 3.614
1.763 1.763 7.295
1.763 1.763 10.588
1.763 1.763 14.269
```

Crystal system: tetragonal
Formation energy from the elements in eV/atom: -0.18
Calculated total energy in eV/atom: -4.59
V in Å³/cell: 222.2